Entry 1:
VASP calculation (PBE) on crystalline AsOsSN2 at its relaxed geometry.

a = 3.7903 Å, b = 3.7903 Å, c = 5.2713 Å
α = 90.00°, β = 90.00°, γ = 90.00°
With the nearest neighbours (Å) after each atom.
Space group P4/mmm (No. 123)
Symmetry-distinct sites (fractional):
As  0.0000  0.0000  0.0000  4 S 2.68
Os  0.5000  0.5000  0.5000  4 N 1.90
S  0.5000  0.5000  0.0000  2 Os 2.64, 4 As 2.68
N  0.0000  0.5000  0.5000  2 Os 1.90

- Formation energy (no corrections): 0.84 eV/atom
- Crystal system: tetragonal

***

Entry 2:
VASP calculation (PBE) on crystalline AsOsSe2N at its relaxed geometry.

a = 4.8240 Å, b = 4.8240 Å, c = 4.7620 Å
α = 90.00°, β = 90.00°, γ = 90.00°
With the nearest neighbours (Å) after each atom.
Space group P4/mmm (No. 123)
Symmetry-distinct sites (fractional):
As  0.0000  0.0000  0.0000  2 Os 2.38
Os  0.0000  0.0000  0.5000  2 As 2.38, 4 Se 2.41
Se  0.0000  0.5000  0.5000  2 Os 2.41
N  0.5000  0.5000  0.0000  8 Se 3.39, 4 As 3.41

- Formation energy (no corrections): 1.78 eV/atom
- Crystal system: tetragonal

***

Entry 3:
VASP calculation (PBE) on crystalline AsOsSe2N at its relaxed geometry.

a = 5.0234 Å, b = 5.0234 Å, c = 3.4386 Å
α = 90.00°, β = 90.00°, γ = 90.00°
With the nearest neighbours (Å) after each atom.
Space group P4/mmm (No. 123)
Symmetry-distinct sites (fractional):
As  0.0000  0.0000  0.0000  2 N 1.72
Os  0.5000  0.5000  0.5000  8 Se 3.04
Se  0.0000  0.5000  0.0000  2 As 2.51
N  0.0000  0.0000  0.5000  2 As 1.72

- Formation energy (no corrections): 1.51 eV/atom
- Crystal system: tetragonal

***

Entry 4:
VASP calculation (PBE) on crystalline AsOsSe2N at its relaxed geometry.

a = 5.0762 Å, b = 5.0762 Å, c = 3.6836 Å
α = 90.00°, β = 90.00°, γ = 90.00°
With the nearest neighbours (Å) after each atom.
Space group P4/mmm (No. 123)
Symmetry-distinct sites (fractional):
As  0.0000  0.0000  0.0000  8 Se 3.14
Os  0.5000  0.5000  0.5000  2 N 1.84
Se  0.0000  0.5000  0.5000  2 Os 2.54
N  0.5000  0.5000  0.0000  2 Os 1.84

- Formation energy (no corrections): 0.52 eV/atom
- Crystal system: tetragonal

***

Entry 5:
VASP calculation (PBE) on crystalline As2OsSeN at its relaxed geometry.

a = 4.6936 Å, b = 4.6936 Å, c = 4.9858 Å
α = 90.00°, β = 90.00°, γ = 90.00°
With the nearest neighbours (Å) after each atom.
Space group P4/mmm (No. 123)
Symmetry-distinct sites (fractional):
As  0.0000  0.5000  0.0000  2 Os 2.35
Os  0.0000  0.0000  0.0000  4 As 2.35, 2 Se 2.49
Se  0.0000  0.0000  0.5000  2 Os 2.49
N  0.5000  0.5000  0.5000  4 Se 3.32, 8 As 3.42

- Formation energy (no corrections): 1.73 eV/atom
- Crystal system: tetragonal

***

Entry 6:
VASP calculation (PBE) on crystalline AsOsSe2N at its relaxed geometry.

a = 4.2803 Å, b = 4.2803 Å, c = 4.1732 Å
α = 90.00°, β = 90.00°, γ = 90.00°
With the nearest neighbours (Å) after each atom.
Space group P4/mmm (No. 123)
Symmetry-distinct sites (fractional):
As  0.0000  0.0000  0.0000  2 N 2.09
Os  0.5000  0.5000  0.0000  8 Se 2.99, 4 As 3.03
Se  0.0000  0.5000  0.5000  2 N 2.14
N  0.0000  0.0000  0.5000  2 As 2.09, 4 Se 2.14

- Formation energy (no corrections): 1.24 eV/atom
- Crystal system: tetragonal